The following is a PBE with a Hubbard U calculation of an optimized crystal structure of Sc2PbWO8, from Alexandria.

```
data_Sc2PbWO8
_chemical_formula_sum 'Sc4 Pb2 W2 O16'
_cell_length_a 6.704
_cell_length_b 6.952
_cell_length_c 6.581
_cell_angle_alpha 90.00
_cell_angle_beta 90.00
_cell_angle_gamma 90.00
_space_group_name_H-M_alt 'C m m m'
_space_group_IT_number 65
_space_group_name_Hall '-C 2 2'
loop_
_atom_site_label
_atom_site_type_symbol
_atom_site_fract_x
_atom_site_fract_y
_atom_site_fract_z
_atom_site_occupancy
Sc1 Sc 0.000 0.000 0.243 1
Pb1 Pb 0.000 0.500 0.500 1
W1 W 0.000 0.500 0.000 1
O1 O 0.000 0.307 0.218 1
O2 O 0.190 0.000 0.500 1
O3 O 0.208 0.000 0.000 1
```

Output
E (eV per atom): -7.6123